Entry 1:
## Hf2Zn3W4C3 (GGA-PBE)

Data for a relaxed structure of Hf2Zn3W4C3.

Cell: 9.2650 5.3638 13.9200 Å, 90.00 103.13 90.00°
Last column: nearest neighbours and their distance in Å.
Space group C2/c (No. 15)
One atom of each set of equivalent atoms:
Hf1 0.0447 0.0820 0.3909 [8 per cell]  3 C 2.29-2.33
Zn1 0.0000 0.4435 0.7500 [4 per cell]  4 Zn 2.68-2.69, 4 W 2.78
Zn2 0.2377 0.1531 0.7510 [8 per cell]  4 Zn 2.68-2.69, 4 W 2.77
W1 0.1105 0.4112 0.5806 [8 per cell]  3 C 2.08-2.15
W2 0.2257 0.4193 0.9194 [8 per cell]  3 C 2.08-2.15
C1 0.0814 0.2439 0.9999 [8 per cell]  4 W 2.08-2.15, 2 Hf 2.29
C2 0.2500 0.2500 0.5000 [4 per cell]  4 W 2.08, 2 Hf 2.33

Properties
Total energy (eV per atom): -8.8412
Spin magnetization (μB/cell): 0.002


Entry 2:
## Hf4Zn3W2C3 (GGA-PBE)

Data for a relaxed structure of Hf4Zn3W2C3.

Cell: 9.5774 5.5383 14.0013 Å, 90.00 103.23 90.00°
Last column: nearest neighbours and their distance in Å.
Space group C2/c (No. 15)
One atom of each set of equivalent atoms:
Hf1 0.1161 0.0762 0.0978 [8 per cell]  3 C 2.25-2.29
Hf2 0.2139 0.0869 0.4022 [8 per cell]  3 C 2.25-2.29
Zn1 0.0000 0.1466 0.7500 [4 per cell]  2 Zn 2.61, 2 W 2.80, 4 Hf 2.90
Zn2 0.1357 0.4456 0.2482 [8 per cell]  2 Zn 2.61, 2 W 2.82-2.83, 4 Hf 2.90-2.92
W1 0.0618 0.4135 0.9245 [8 per cell]  3 C 2.08-2.13
C1 0.0831 0.2504 0.5000 [8 per cell]  2 W 2.13, 4 Hf 2.25-2.29
C2 0.2500 0.2500 0.0000 [4 per cell]  2 W 2.08, 4 Hf 2.29

Properties
Total energy (eV per atom): -8.5461
Spin magnetization (μB/cell): 0.009


Entry 3:
## Y2HfC3 (GGA-PBE)

Data for a relaxed structure of Y2HfC3.

Cell: 3.4628 3.4628 8.6241 Å, 90.00 90.00 120.00°
Last column: nearest neighbours and their distance in Å.
Space group P-3m1 (No. 164)
One atom of each set of equivalent atoms:
Y1 0.3333 0.6667 0.3264 [2 per cell]  6 C 2.50-2.55
Hf1 0.0000 0.0000 0.0000 [1 per cell]  6 C 2.35
C1 0.0000 0.0000 0.5000 [1 per cell]  6 Y 2.50
C2 0.3333 0.6667 0.8563 [2 per cell]  3 Hf 2.35, 3 Y 2.55

Properties
Total energy (eV per atom): -8.6943
Spin magnetization (μB/cell): 0.002


Entry 4:
## Y2Hf4Zn3C3 (GGA-PBE)

Data for a relaxed structure of Y2Hf4Zn3C3.

Cell: 9.9969 5.7827 14.8045 Å, 90.00 103.55 90.00°
Last column: nearest neighbours and their distance in Å.
Space group C2/c (No. 15)
One atom of each set of equivalent atoms:
Y1 0.0422 0.0819 0.3869 [8 per cell]  3 C 2.54-2.57
Hf1 0.1111 0.4080 0.5824 [8 per cell]  3 C 2.24-2.25
Hf2 0.2262 0.4200 0.9176 [8 per cell]  3 C 2.24-2.25
Zn1 0.0000 0.4271 0.7500 [4 per cell]  4 Zn 2.89, 4 Hf 2.94-2.95
Zn2 0.2428 0.1568 0.7501 [8 per cell]  4 Zn 2.89, 4 Hf 2.91-2.95
C1 0.0872 0.2615 0.0000 [8 per cell]  4 Hf 2.24-2.25
C2 0.2500 0.2500 0.5000 [4 per cell]  4 Hf 2.25

Properties
Total energy (eV per atom): -7.5629
Spin magnetization (μB/cell): 0.013


Entry 5:
## Hf4Zr2Zn3C3 (GGA-PBE)

Data for a relaxed structure of Hf4Zr2Zn3C3.

Cell: 9.8253 5.6654 14.7324 Å, 90.00 103.26 90.00°
Last column: nearest neighbours and their distance in Å.
Space group C2/c (No. 15)
One atom of each set of equivalent atoms:
Hf1 0.1120 0.0867 0.0839 [8 per cell]  3 C 2.23-2.26
Hf2 0.2230 0.0820 0.4161 [8 per cell]  3 C 2.23-2.26
Zr1 0.0477 0.4186 0.9018 [8 per cell]  3 C 2.34-2.37
Zn1 0.0000 0.0518 0.2500 [4 per cell]  4 Zn 2.83-2.88, 4 Hf 2.89-2.91
Zn2 0.2288 0.3560 0.2495 [8 per cell]  4 Zn 2.83-2.88, 4 Hf 2.88-2.92
C1 0.0828 0.2514 0.5000 [8 per cell]  4 Hf 2.23-2.26, 2 Zr 2.34
C2 0.2500 0.2500 0.0000 [4 per cell]  4 Hf 2.23, 2 Zr 2.37

Properties
Total energy (eV per atom): -7.9227
Spin magnetization (μB/cell): 0.020


Entry 6:
## HfZr2C3 (GGA-PBE)

Data for a relaxed structure of HfZr2C3.

Cell: 3.3193 3.3193 8.1258 Å, 90.00 90.00 120.00°
Last column: nearest neighbours and their distance in Å.
Space group P-3m1 (No. 164)
One atom of each set of equivalent atoms:
Hf1 0.0000 0.0000 0.0000 [1 per cell]  6 C 2.33
Zr1 0.3333 0.6667 0.6679 [2 per cell]  6 C 2.35-2.36
C1 0.0000 0.0000 0.5000 [1 per cell]  6 Zr 2.35
C2 0.3333 0.6667 0.1629 [2 per cell]  3 Hf 2.33, 3 Zr 2.36

Properties
Total energy (eV per atom): -9.9710
Spin magnetization (μB/cell): 0.018


Entry 7:
## Hf3ZrC4 (GGA-PBE)

Data for a relaxed structure of Hf3ZrC4.

Cell: 4.6630 4.6630 4.6630 Å, 90.00 90.00 90.00°
Last column: nearest neighbours and their distance in Å.
Space group Pm-3m (No. 221)
One atom of each set of equivalent atoms:
Hf1 0.0000 0.0000 0.5000 [3 per cell]  6 C 2.33
Zr1 0.5000 0.5000 0.5000 [1 per cell]  6 C 2.33
C1 0.0000 0.0000 0.0000 [1 per cell]  6 Hf 2.33
C2 0.0000 0.5000 0.5000 [3 per cell]  2 Zr 2.33, 4 Hf 2.33

Properties
Total energy (eV per atom): -10.3188
Spin magnetization (μB/cell): 0.000


Entry 8:
## HfZr3C4 (GGA-PBE)

Data for a relaxed structure of HfZr3C4.

Cell: 4.6996 4.6996 4.6996 Å, 90.00 90.00 90.00°
Last column: nearest neighbours and their distance in Å.
Space group Pm-3m (No. 221)
One atom of each set of equivalent atoms:
Hf1 0.0000 0.0000 0.0000 [1 per cell]  6 C 2.35
Zr1 0.0000 0.5000 0.5000 [3 per cell]  6 C 2.35
C1 0.0000 0.0000 0.5000 [3 per cell]  4 Zr 2.35, 2 Hf 2.35
C2 0.5000 0.5000 0.5000 [1 per cell]  6 Zr 2.35

Properties
Total energy (eV per atom): -9.8991
Spin magnetization (μB/cell): 0.000